Material: MnZn2Re
Method: DFT, PBE-GGA
State: optimized geometry

Cell: 2.879 2.879 6.603 Å, 90.00 90.00 90.00°
Sites, in units of the cell vectors:
Mn1 0.000 0.000 0.513
Zn1 0.500 0.500 0.266
Zn2 0.000 0.000 0.002
Re1 0.500 0.500 0.719

Values from the calculation:
Its energy relative to the elements is 0.056 eV per atom. The total magnetization is 0.000 μB/atom.

***

Material: Ba2Si2Cl
Method: DFT, PBE-GGA
State: optimized geometry

Cell: 4.265 4.265 9.524 Å, 89.99 102.94 120.02°
Sites, in units of the cell vectors:
Ba1 0.830 0.414 0.244
Ba2 0.170 0.586 0.756
Cl1 0.000 0.000 0.000
Si1 0.347 0.173 0.520
Si2 0.653 0.827 0.480

Values from the calculation:
The formation energy (no corrections) is -5.15 eV/f.u. The total magnetization is 0.000 μB/atom.

***

Material: Pm2DyTmS4
Method: DFT, PBE-GGA
State: optimized geometry

Cell: 3.898 6.799 6.971 Å, 108.75 90.00 90.00°
Sites, in units of the cell vectors:
Tm1 0.000 0.000 0.000
Dy1 0.500 0.500 0.000
S1 0.000 0.748 0.235
S2 0.000 0.252 0.765
S3 0.500 0.759 0.767
S4 0.500 0.241 0.233
Pm1 0.000 0.500 0.500
Pm2 0.500 0.000 0.500

Values from the calculation:
The formation energy (no corrections) is -16.02 eV/f.u. The total magnetization is 0.000 μB/atom.

***

Material: BaZr2Sn2
Method: DFT, PBE-GGA
State: optimized geometry

Cell: 5.549 5.549 6.502 Å, 64.74 64.74 90.00°
Sites, in units of the cell vectors:
Sn1 0.250 0.750 0.500
Sn2 0.750 0.250 0.500
Zr1 0.338 0.338 0.325
Zr2 0.662 0.662 0.675
Ba1 0.000 0.000 0.000

Values from the calculation:
Its energy relative to the elements is -0.081 eV per atom. The total magnetization is 0.021 μB/atom.

***

Material: TaTi2SnB
Method: DFT, PBE-GGA
State: optimized geometry

Cell: 4.319 4.319 4.399 Å, 90.00 90.00 90.00°
Sites, in units of the cell vectors:
Ti1 0.500 0.000 0.000
Ti2 0.000 0.500 0.000
B1 0.000 0.000 0.000
Sn1 0.500 0.500 0.500
Ta1 0.000 0.000 0.500

Values from the calculation:
Its energy relative to the elements is -0.320 eV per atom. The total magnetization is 0.000 μB/atom.

***

Material: Tb2Pm6Sm3Sc
Method: DFT, PBE-GGA
State: optimized geometry

Cell: 13.679 13.679 3.531 Å, 112.73 112.73 114.69°
Sites, in units of the cell vectors:
Sm1 0.754 0.246 0.500
Sm2 0.500 0.500 0.500
Sm3 0.246 0.754 0.500
Pm1 0.232 0.232 0.192
Pm2 0.768 0.768 0.808
Pm3 0.464 0.165 0.448
Pm4 0.835 0.536 0.552
Pm5 0.536 0.835 0.552
Pm6 0.165 0.464 0.448
Sc1 0.000 0.000 0.000
Tb1 0.125 0.875 0.000
Tb2 0.875 0.125 0.000

Values from the calculation:
Its energy relative to the elements is 0.362 eV per atom. The total magnetization is 0.000 μB/atom.